No. 1
VASP calculation (GGA-PBE) on an optimized crystal structure of Ce2MgMn.

Cell lengths 9.824, 7.180, 5.166 Å; angles 90.00, 104.98, 90.00 degrees
Sites, in units of the cell vectors:
Ce 0.083 0.088 0.291
Ce 0.083 0.412 0.791
Ce 0.344 0.646 0.919
Ce 0.344 0.854 0.419
Ce 0.656 0.146 0.581
Ce 0.656 0.354 0.081
Ce 0.917 0.588 0.209
Ce 0.917 0.912 0.709
Mg 0.353 0.125 0.924
Mg 0.353 0.375 0.424
Mg 0.647 0.625 0.576
Mg 0.647 0.875 0.076
Mn 0.146 0.662 0.323
Mn 0.146 0.838 0.823
Mn 0.854 0.162 0.177
Mn 0.854 0.338 0.677

Calculated values
Electronic total energy = -22.54 eV/f.u.
Crystal system = monoclinic
Symmetry = P2_1/c, No. 14
ΔH_f (0 K) = 0.022 eV per atom


No. 2
VASP calculation (GGA-PBE) on an optimized crystal structure of La5AlCu2.

Cell lengths 8.828, 8.828, 8.828 Å; angles 123.95, 123.95, 83.28 degrees
Sites, in units of the cell vectors:
La 0.000 0.000 0.000
La 0.015 0.515 0.821
La 0.193 0.015 0.500
La 0.307 0.807 0.821
La 0.485 0.307 0.500
La 0.500 0.500 0.000
La 0.515 0.693 0.500
La 0.693 0.193 0.179
La 0.807 0.985 0.500
La 0.985 0.485 0.179
Al 0.250 0.250 0.000
Al 0.750 0.750 0.000
Cu 0.123 0.377 0.500
Cu 0.377 0.877 0.255
Cu 0.623 0.123 0.745
Cu 0.877 0.623 0.500

Calculated values
Electronic total energy = -37.85 eV/f.u.
Crystal system = tetragonal
Symmetry = I4/mcm, No. 140
ΔH_f (0 K) = -0.160 eV per atom


No. 3
VASP calculation (GGA-PBE) on an optimized crystal structure of Zr2MnCr3.

Cell lengths 5.023, 5.023, 5.030 Å; angles 120.00, 120.00, 60.02 degrees
Sites, in units of the cell vectors:
Zr 0.126 0.126 0.376
Zr 0.874 0.874 0.624
Mn 0.500 0.500 0.500
Cr 0.000 0.500 0.000
Cr 0.500 0.000 0.000
Cr 0.500 0.500 0.000

Calculated values
Electronic total energy = -55.70 eV/f.u.
Crystal system = monoclinic
Symmetry = C2/m, No. 12
ΔH_f (0 K) = -0.094 eV per atom


No. 4
VASP calculation (GGA-PBE) on an optimized crystal structure of Sr3Mg2Tl.

Cell lengths 9.174, 9.174, 4.224 Å; angles 90.00, 90.00, 143.01 degrees
Sites, in units of the cell vectors:
Sr 0.000 0.000 0.000
Sr 0.339 0.661 0.000
Sr 0.661 0.339 0.000
Mg 0.170 0.830 0.500
Mg 0.830 0.170 0.500
Tl 0.500 0.500 0.500

Calculated values
Electronic total energy = -11.76 eV/f.u.
Crystal system = orthorhombic
Symmetry = Cmmm, No. 65
ΔH_f (0 K) = -0.193 eV per atom


No. 5
VASP calculation (GGA-PBE) on an optimized crystal structure of NdP3Ru4.

Cell lengths 4.032, 4.032, 7.768 Å; angles 90.00, 90.00, 90.00 degrees
Sites, in units of the cell vectors:
Nd 0.000 0.000 0.000
P 0.000 0.000 0.500
P 0.500 0.500 0.175
P 0.500 0.500 0.825
Ru 0.000 0.500 0.320
Ru 0.000 0.500 0.680
Ru 0.500 0.000 0.320
Ru 0.500 0.000 0.680

Calculated values
Electronic total energy = -64.32 eV/f.u.
Crystal system = tetragonal
Symmetry = P4/mmm, No. 123
ΔH_f (0 K) = -0.777 eV per atom


No. 6
VASP calculation (GGA-PBE) on an optimized crystal structure of KMnSi.

Cell lengths 6.633, 6.633, 6.633 Å; angles 150.24, 150.24, 42.59 degrees
Sites, in units of the cell vectors:
K 0.000 0.000 0.000
Mn 0.262 0.262 0.000
Si 0.723 0.723 0.000

Calculated values
Electronic total energy = -14.85 eV/f.u.
Crystal system = tetragonal
Symmetry = I4mm, No. 107